VASP calculation (GGA-PBE) on NaY2TcSb after structural relaxation.

```
data_NaY2TcSb
_chemical_formula_sum 'Na1 Y2 Tc1 Sb1'
_cell_length_a 5.7725
_cell_length_b 5.7725
_cell_length_c 4.9161
_cell_angle_alpha 90.00
_cell_angle_beta 90.00
_cell_angle_gamma 90.00
_space_group_name_H-M_alt 'P 4/m m m'
_space_group_IT_number 123
_space_group_name_Hall '-P 4 2'
loop_
_atom_site_label
_atom_site_fract_x
_atom_site_fract_y
_atom_site_fract_z
_atom_site_occupancy
Na1 0.0000 0.0000 0.0000 1
Y1 0.0000 0.5000 0.5000 1
Tc1 0.5000 0.5000 0.0000 1
Sb1 0.5000 0.5000 0.5000 1
```

Results
Its crystal system is tetragonal. The formation energy without anion corrections comes out at 0.508 eV per atom.

---

VASP calculation (GGA-PBE) on RbCd2W after structural relaxation.

```
data_RbCd2W
_chemical_formula_sum 'Rb4 Cd8 W4'
_cell_length_a 5.7068
_cell_length_b 5.7068
_cell_length_c 19.4606
_cell_angle_alpha 90.00
_cell_angle_beta 90.00
_cell_angle_gamma 90.00
_space_group_name_H-M_alt 'I -4 2 d'
_space_group_IT_number 122
_space_group_name_Hall 'I -4 2bw'
loop_
_atom_site_label
_atom_site_fract_x
_atom_site_fract_y
_atom_site_fract_z
_atom_site_occupancy
Rb1 0.0000 0.0000 0.0000 1
Cd1 0.0027 0.2500 0.6250 1
W1 0.0000 0.0000 0.5000 1
```

Results
Its crystal system is tetragonal. The value obtained for the formation energy is 1.25 eV per atom. The calculation puts the energy above the most stable polymorph in this dataset at 0.0 meV per atom.

---

VASP calculation (GGA-PBE) on Si2OsS2 after structural relaxation.

```
data_Si2OsS2
_chemical_formula_sum 'Si4 Os2 S4'
_cell_length_a 6.4073
_cell_length_b 6.4073
_cell_length_c 3.9426
_cell_angle_alpha 90.00
_cell_angle_beta 90.00
_cell_angle_gamma 90.00
_space_group_name_H-M_alt 'P 4/m b m'
_space_group_IT_number 127
_space_group_name_Hall '-P 4 2ab'
loop_
_atom_site_label
_atom_site_fract_x
_atom_site_fract_y
_atom_site_fract_z
_atom_site_occupancy
Si1 0.1331 0.3669 0.0000 1
Os1 0.0000 0.0000 0.0000 1
S1 0.2491 0.7491 0.5000 1
```

Results
Its crystal system is tetragonal. The formation energy without anion corrections comes out at 0.490 eV per atom. The calculation puts the energy above the most stable polymorph in this dataset at 0.0 meV per atom.

---

VASP calculation (GGA-PBE) on ScCd after structural relaxation.

```
data_ScCd
_chemical_formula_sum 'Sc8 Cd8'
_cell_length_a 6.7906
_cell_length_b 5.0285
_cell_length_c 10.6295
_cell_angle_alpha 90.00
_cell_angle_beta 90.00
_cell_angle_gamma 90.00
_space_group_name_H-M_alt 'P n m a'
_space_group_IT_number 62
loop_
_space_group_symop_operation_xyz
'x,y,z'
'-x,-y,-z'
'-x+1/2,-y,z+1/2'
'x+1/2,y,-z+1/2'
'x+1/2,-y+1/2,-z+1/2'
'-x+1/2,y+1/2,z+1/2'
'-x,y+1/2,-z'
'x,-y+1/2,z'
loop_
_atom_site_label
_atom_site_fract_x
_atom_site_fract_y
_atom_site_fract_z
_atom_site_occupancy
Sc1 0.1174 0.2500 0.2461 1
Sc2 0.1429 0.7500 0.0167 1
Cd1 0.1162 0.7500 0.5046 1
Cd2 0.1361 0.2500 0.7754 1
```

Results
Its crystal system is orthorhombic. The value obtained for the formation energy is -0.18 eV per atom.

---

VASP calculation (GGA-PBE) on LaCdInHg3 after structural relaxation.

```
data_LaCdInHg3
_chemical_formula_sum 'La4 Cd4 In4 Hg12'
_cell_length_a 4.8938
_cell_length_b 16.8691
_cell_length_c 7.5472
_cell_angle_alpha 90.00
_cell_angle_beta 90.00
_cell_angle_gamma 90.00
_space_group_name_H-M_alt 'C m c m'
_space_group_IT_number 63
_space_group_name_Hall '-C 2c 2'
loop_
_atom_site_label
_atom_site_fract_x
_atom_site_fract_y
_atom_site_fract_z
_atom_site_occupancy
La1 0.0000 0.1848 0.2500 1
Cd1 0.0000 0.0000 0.0000 1
In1 0.0000 0.4830 0.7500 1
Hg1 0.0000 0.1765 0.7500 1
Hg2 0.0000 0.3565 0.0269 1
```

Results
Its crystal system is orthorhombic. The value obtained for the formation energy is -0.29 eV per atom.

---

VASP calculation (GGA-PBE) on InIr after structural relaxation.

```
data_InIr
_chemical_formula_sum 'In4 Ir4'
_cell_length_a 5.8495
_cell_length_b 4.4544
_cell_length_c 5.5703
_cell_angle_alpha 90.00
_cell_angle_beta 90.00
_cell_angle_gamma 90.00
_space_group_name_H-M_alt 'P n m a'
_space_group_IT_number 62
loop_
_space_group_symop_operation_xyz
'x,y,z'
'-x,-y,-z'
'-x+1/2,-y,z+1/2'
'x+1/2,y,-z+1/2'
'x+1/2,-y+1/2,-z+1/2'
'-x+1/2,y+1/2,z+1/2'
'-x,y+1/2,-z'
'x,-y+1/2,z'
loop_
_atom_site_label
_atom_site_fract_x
_atom_site_fract_y
_atom_site_fract_z
_atom_site_occupancy
In1 0.1573 0.2500 0.1379 1
Ir1 0.0420 0.2500 0.6554 1
```

Results
Its crystal system is orthorhombic. The value obtained for the formation energy is 0.03 eV per atom.

---

VASP calculation (GGA-PBE) on LaTiTe3 after structural relaxation.

```
data_LaTiTe3
_chemical_formula_sum 'La1 Ti1 Te3'
_cell_length_a 5.3467
_cell_length_b 5.3467
_cell_length_c 5.3467
_cell_angle_alpha 90.00
_cell_angle_beta 90.00
_cell_angle_gamma 90.00
_space_group_name_H-M_alt 'P m -3 m'
_space_group_IT_number 221
_space_group_name_Hall '-P 4 2 3'
loop_
_atom_site_label
_atom_site_fract_x
_atom_site_fract_y
_atom_site_fract_z
_atom_site_occupancy
La1 0.0000 0.0000 0.0000 1
Ti1 0.5000 0.5000 0.5000 1
Te1 0.0000 0.5000 0.5000 1
```

Results
Its crystal system is cubic. The formation energy without anion corrections comes out at -0.753 eV per atom. The calculation puts the energy above the most stable polymorph in this dataset at 369.1 meV per atom.

---

VASP calculation (GGA-PBE) on ZnTcSe2 after structural relaxation.

```
data_ZnTcSe2
_chemical_formula_sum 'Zn3 Tc3 Se6'
_cell_length_a 3.5657
_cell_length_b 3.5657
_cell_length_c 20.6395
_cell_angle_alpha 90.00
_cell_angle_beta 90.00
_cell_angle_gamma 120.00
_space_group_name_H-M_alt 'R -3 m'
_space_group_IT_number 166
_space_group_name_Hall '-R 3 2"'
loop_
_atom_site_label
_atom_site_fract_x
_atom_site_fract_y
_atom_site_fract_z
_atom_site_occupancy
Zn1 0.0000 0.0000 0.0000 1
Tc1 0.0000 0.0000 0.5000 1
Se1 0.0000 0.0000 0.2425 1
```

Results
Its crystal system is trigonal. The formation energy without anion corrections comes out at -0.052 eV per atom. The calculation puts the energy above the most stable polymorph in this dataset at 228.0 meV per atom.